The following is a DFT calculation (PBE+U) of a relaxed structure of CoAgOF2.

a = 4.234 Å, b = 4.234 Å, c = 4.164 Å
α = 90.00°, β = 90.00°, γ = 90.00°
Positions (direct):
Co  0.000  0.000  0.000
Ag  0.500  0.500  0.500
O  0.500  0.500  0.000
F  0.000  0.500  0.500
F  0.500  0.000  0.500

total moment: 2.703 μB/cell
total energy: -18.03 eV for the cell shown
DOS(E_F): 0.774 states/eV per atom
offset from the most stable computed form: 4.332 eV/f.u.